(1)
Density functional theory data (PBE) for an optimized crystal structure of HgAs2Au.

Structure (CIF):
```
data_HgAs2Au
_chemical_formula_sum 'Hg1 As2 Au1'
_space_group_name_H-M_alt 'P 1'
_space_group_IT_number 1
_space_group_name_Hall 'P 1'
_cell_length_a 6.644
_cell_length_b 6.644
_cell_length_c 6.644
_cell_angle_alpha 147.13
_cell_angle_beta 142.54
_cell_angle_gamma 50.68
loop_
_atom_site_label
_atom_site_fract_x
_atom_site_fract_y
_atom_site_fract_z
Hg1 0.000 0.000 0.000
As1 0.213 0.713 0.500
As2 0.362 0.362 0.000
Au1 0.728 0.228 0.500
```

Output
The calculation puts the calculated density at 9.44 g cm⁻³. Its formation energy is 19 kJ/mol of atoms. Its symmetry is Imm2.



(2)
Density functional theory data (PBE) for an optimized crystal structure of HgAsAu2.

Structure (CIF):
```
data_HgAsAu2
_chemical_formula_sum 'Hg1 As1 Au2'
_space_group_name_H-M_alt 'P 1'
_space_group_IT_number 1
_space_group_name_Hall 'P 1'
_cell_length_a 2.908
_cell_length_b 5.220
_cell_length_c 5.268
_cell_angle_alpha 90.00
_cell_angle_beta 90.00
_cell_angle_gamma 90.00
loop_
_atom_site_label
_atom_site_fract_x
_atom_site_fract_y
_atom_site_fract_z
Hg1 0.000 0.000 0.000
As1 0.500 0.000 0.500
Au1 0.000 0.500 0.500
Au2 0.500 0.500 0.000
```

Output
The calculation puts the calculated density at 13.90 g cm⁻³. Its formation energy is 22 kJ/mol of atoms. Its symmetry is Pmmm.



(3)
Density functional theory data (PBE) for an optimized crystal structure of HgAs2Au.

Structure (CIF):
```
data_HgAs2Au
_chemical_formula_sum 'Hg1 As2 Au1'
_space_group_name_H-M_alt 'P 1'
_space_group_IT_number 1
_space_group_name_Hall 'P 1'
_cell_length_a 2.914
_cell_length_b 2.914
_cell_length_c 9.665
_cell_angle_alpha 90.00
_cell_angle_beta 90.00
_cell_angle_gamma 90.00
loop_
_atom_site_label
_atom_site_fract_x
_atom_site_fract_y
_atom_site_fract_z
Hg1 0.000 0.000 0.000
As1 0.000 0.000 0.523
As2 0.500 0.500 0.274
Au1 0.500 0.500 0.741
```

Output
The calculation puts the calculated density at 11.08 g cm⁻³. Its formation energy is 30 kJ/mol of atoms. Its symmetry is P4mm.



(4)
Density functional theory data (PBE) for an optimized crystal structure of HgAsAu2.

Structure (CIF):
```
data_HgAsAu2
_chemical_formula_sum 'Hg1 As1 Au2'
_space_group_name_H-M_alt 'P 1'
_space_group_IT_number 1
_space_group_name_Hall 'P 1'
_cell_length_a 3.017
_cell_length_b 4.301
_cell_length_c 6.446
_cell_angle_alpha 90.00
_cell_angle_beta 90.00
_cell_angle_gamma 90.00
loop_
_atom_site_label
_atom_site_fract_x
_atom_site_fract_y
_atom_site_fract_z
Hg1 0.000 0.000 0.000
As1 0.500 0.500 0.364
Au1 0.000 0.000 0.490
Au2 0.500 0.500 0.774
```

Output
The calculation puts the calculated density at 13.29 g cm⁻³. Its formation energy is 15 kJ/mol of atoms. Its symmetry is Pmm2.



(5)
Density functional theory data (PBE) for an optimized crystal structure of HgAsAu2.

Structure (CIF):
```
data_HgAsAu2
_chemical_formula_sum 'Hg1 As1 Au2'
_space_group_name_H-M_alt 'P 1'
_space_group_IT_number 1
_space_group_name_Hall 'P 1'
_cell_length_a 2.850
_cell_length_b 3.781
_cell_length_c 7.475
_cell_angle_alpha 90.00
_cell_angle_beta 90.00
_cell_angle_gamma 90.00
loop_
_atom_site_label
_atom_site_fract_x
_atom_site_fract_y
_atom_site_fract_z
Hg1 0.000 0.000 0.000
As1 0.000 0.000 0.500
Au1 0.500 0.500 0.270
Au2 0.500 0.500 0.730
```

Output
The calculation puts the calculated density at 13.80 g cm⁻³. Its formation energy is 17 kJ/mol of atoms. Its symmetry is Pmmm.



(6)
Density functional theory data (PBE) for an optimized crystal structure of HgAs2Au.

Structure (CIF):
```
data_HgAs2Au
_chemical_formula_sum 'Hg1 As2 Au1'
_space_group_name_H-M_alt 'P 1'
_space_group_IT_number 1
_space_group_name_Hall 'P 1'
_cell_length_a 5.941
_cell_length_b 5.941
_cell_length_c 6.191
_cell_angle_alpha 109.13
_cell_angle_beta 109.13
_cell_angle_gamma 27.48
loop_
_atom_site_label
_atom_site_fract_x
_atom_site_fract_y
_atom_site_fract_z
Hg1 0.000 0.000 0.000
As1 0.213 0.213 0.655
As2 0.787 0.787 0.345
Au1 0.500 0.500 0.500
```

Output
The calculation puts the calculated density at 9.58 g cm⁻³. Its formation energy is 19 kJ/mol of atoms. Its symmetry is C2/m.



(7)
Density functional theory data (PBE) for an optimized crystal structure of HgAsAu2.

Structure (CIF):
```
data_HgAsAu2
_chemical_formula_sum 'Hg1 As1 Au2'
_space_group_name_H-M_alt 'P 1'
_space_group_IT_number 1
_space_group_name_Hall 'P 1'
_cell_length_a 2.871
_cell_length_b 3.804
_cell_length_c 7.596
_cell_angle_alpha 90.00
_cell_angle_beta 91.87
_cell_angle_gamma 90.00
loop_
_atom_site_label
_atom_site_fract_x
_atom_site_fract_y
_atom_site_fract_z
Hg1 0.000 0.000 0.000
As1 0.500 0.000 0.500
Au1 0.487 0.500 0.252
Au2 0.513 0.500 0.748
```

Output
The calculation puts the calculated density at 13.41 g cm⁻³. Its formation energy is 12 kJ/mol of atoms. Its symmetry is P2/m.



(8)
Density functional theory data (PBE) for an optimized crystal structure of HgAsAu2.

Structure (CIF):
```
data_HgAsAu2
_chemical_formula_sum 'Hg1 As1 Au2'
_space_group_name_H-M_alt 'P 1'
_space_group_IT_number 1
_space_group_name_Hall 'P 1'
_cell_length_a 5.129
_cell_length_b 5.129
_cell_length_c 3.126
_cell_angle_alpha 90.00
_cell_angle_beta 90.00
_cell_angle_gamma 107.78
loop_
_atom_site_label
_atom_site_fract_x
_atom_site_fract_y
_atom_site_fract_z
Hg1 0.000 0.000 0.000
As1 0.500 0.500 0.000
Au1 0.000 0.500 0.500
Au2 0.500 0.000 0.500
```

Output
The calculation puts the calculated density at 14.20 g cm⁻³. Its formation energy is 20 kJ/mol of atoms. Its symmetry is Cmmm.



(9)
Density functional theory data (PBE) for an optimized crystal structure of HgAs2Au.

Structure (CIF):
```
data_HgAs2Au
_chemical_formula_sum 'Hg2 As4 Au2'
_space_group_name_H-M_alt 'P 1'
_space_group_IT_number 1
_space_group_name_Hall 'P 1'
_cell_length_a 7.832
_cell_length_b 7.832
_cell_length_c 7.832
_cell_angle_alpha 137.81
_cell_angle_beta 137.81
_cell_angle_gamma 61.20
loop_
_atom_site_label
_atom_site_fract_x
_atom_site_fract_y
_atom_site_fract_z
Hg1 0.000 0.000 0.000
Hg2 0.750 0.250 0.500
As1 0.157 0.625 0.032
As2 0.375 0.407 0.532
As3 0.593 0.125 0.968
As4 0.875 0.843 0.468
Au1 0.250 0.750 0.500
Au2 0.500 0.500 0.000
```

Output
The calculation puts the calculated density at 8.48 g cm⁻³. Its formation energy is 26 kJ/mol of atoms. Its symmetry is I-42d.



(10)
Density functional theory data (PBE) for an optimized crystal structure of HgAs2Au.

Structure (CIF):
```
data_HgAs2Au
_chemical_formula_sum 'Hg1 As2 Au1'
_space_group_name_H-M_alt 'P 1'
_space_group_IT_number 1
_space_group_name_Hall 'P 1'
_cell_length_a 3.121
_cell_length_b 3.121
_cell_length_c 10.894
_cell_angle_alpha 90.00
_cell_angle_beta 90.00
_cell_angle_gamma 124.04
loop_
_atom_site_label
_atom_site_fract_x
_atom_site_fract_y
_atom_site_fract_z
Hg1 0.000 0.000 0.000
As1 0.500 0.500 0.291
As2 0.500 0.500 0.709
Au1 0.000 0.000 0.500
```

Output
The calculation puts the calculated density at 10.34 g cm⁻³. Its formation energy is 23 kJ/mol of atoms. Its symmetry is Cmmm.



(11)
Density functional theory data (PBE) for an optimized crystal structure of HgAs2Au.

Structure (CIF):
```
data_HgAs2Au
_chemical_formula_sum 'Hg1 As2 Au1'
_space_group_name_H-M_alt 'P 1'
_space_group_IT_number 1
_space_group_name_Hall 'P 1'
_cell_length_a 5.137
_cell_length_b 5.137
_cell_length_c 5.137
_cell_angle_alpha 128.07
_cell_angle_beta 128.07
_cell_angle_gamma 76.51
loop_
_atom_site_label
_atom_site_fract_x
_atom_site_fract_y
_atom_site_fract_z
Hg1 0.000 0.000 0.000
As1 0.250 0.750 0.500
As2 0.500 0.500 0.000
Au1 0.750 0.250 0.500
```

Output
The calculation puts the calculated density at 11.14 g cm⁻³. Its formation energy is 35 kJ/mol of atoms. Its symmetry is I-4m2.



(12)
Density functional theory data (PBE) for an optimized crystal structure of HgAsAu2.

Structure (CIF):
```
data_HgAsAu2
_chemical_formula_sum 'Hg1 As1 Au2'
_space_group_name_H-M_alt 'P 1'
_space_group_IT_number 1
_space_group_name_Hall 'P 1'
_cell_length_a 5.378
_cell_length_b 5.378
_cell_length_c 5.378
_cell_angle_alpha 134.45
_cell_angle_beta 134.45
_cell_angle_gamma 66.39
loop_
_atom_site_label
_atom_site_fract_x
_atom_site_fract_y
_atom_site_fract_z
Hg1 0.000 0.000 0.000
As1 0.250 0.750 0.500
Au1 0.500 0.500 0.000
Au2 0.750 0.250 0.500
```

Output
The calculation puts the calculated density at 14.24 g cm⁻³. Its formation energy is 20 kJ/mol of atoms. Its symmetry is I-4m2.